An optimized crystal structure of Zn2SiPd, computed with PBE.

a = 7.2509 Å, b = 7.2509 Å, c = 5.6924 Å
α = 50.44°, β = 50.44°, γ = 90.00°
Closest atoms and distances in Å follow each position.
Fractional positions:
Zn1 0.6154 0.1250 0.2500  2 Zn 2.48, 2 Si 2.59, 2 Pd 2.69
Zn2 0.1346 0.6250 0.2500  2 Zn 2.48, 2 Si 2.59, 2 Pd 2.69
Zn3 0.3750 0.3846 0.7500  2 Zn 2.48, 2 Si 2.59, 2 Pd 2.69
Zn4 0.8750 0.8654 0.7500  2 Zn 2.48, 2 Si 2.59, 2 Pd 2.69
Si1 0.5000 0.5000 0.0000  2 Pd 2.47, 4 Zn 2.59
Si2 0.2500 0.7500 0.5000  2 Pd 2.47, 4 Zn 2.59
Pd1 0.0000 0.0000 0.0000  2 Si 2.47, 4 Zn 2.69
Pd2 0.7500 0.2500 0.5000  2 Si 2.47, 4 Zn 2.69

Values from the calculation:
density of states at the Fermi level: 0.295 states/eV per atom
raw formation energy: 0.0506 eV per atom
SG: I-42d
magnetization: 0.00 μB/f.u.

An optimized crystal structure of AgRhO3, computed with PBE.

a = 3.9874 Å, b = 3.9874 Å, c = 3.9874 Å
α = 90.00°, β = 90.00°, γ = 90.00°
Closest atoms and distances in Å follow each position.
Fractional positions:
Rh1 0.5000 0.5000 0.5000  12 O 2.82
O1 0.0000 0.5000 0.0000  2 Ag 1.99
O2 0.0000 0.0000 0.5000  2 Ag 1.99
O3 0.5000 0.0000 0.0000  2 Ag 1.99
Ag1 0.0000 0.0000 0.0000  6 O 1.99

Values from the calculation:
density of states at the Fermi level: 1.169 states/eV per atom
raw formation energy: 0.8502 eV per atom
SG: Pm-3m
magnetization: 3.60 μB/f.u.

An optimized crystal structure of AcZnCuAu3, computed with PBE.

a = 6.2370 Å, b = 6.8196 Å, c = 7.0596 Å
α = 118.88°, β = 90.00°, γ = 90.00°
Closest atoms and distances in Å follow each position.
Fractional positions:
Ac1 0.7500 0.2883 0.5767  1 Cu 2.99, 2 Zn 3.30
Ac2 0.2500 0.7117 0.4233  1 Cu 2.99, 2 Zn 3.30
Zn1 0.2500 0.3758 0.7515  5 Au 2.55-2.64
Zn2 0.7500 0.6242 0.2485  5 Au 2.55-2.64
Cu1 0.2500 0.9539 0.9078  5 Au 2.55-2.67
Cu2 0.7500 0.0461 0.0922  5 Au 2.55-2.67
Au1 0.2500 0.1698 0.3396  1 Zn 2.55, 1 Cu 2.67
Au2 0.0000 0.2838 0.0000  2 Cu 2.55, 2 Zn 2.64
Au3 0.5000 0.7162 0.0000  2 Cu 2.55, 2 Zn 2.64
Au4 0.5000 0.2838 0.0000  2 Cu 2.55, 2 Zn 2.64
Au5 0.0000 0.7162 0.0000  2 Cu 2.55, 2 Zn 2.64
Au6 0.7500 0.8302 0.6604  1 Zn 2.55, 1 Cu 2.67

Values from the calculation:
density of states at the Fermi level: 0.332 states/eV per atom
SG: Cmcm
magnetization: 0.00 μB/f.u.
formation energy from the elements: -33 kJ per mole of atoms

An optimized crystal structure of Ho2Mg17, computed with PBE.

a = 7.7741 Å, b = 7.7741 Å, c = 7.7741 Å
α = 81.97°, β = 81.97°, γ = 81.97°
Closest atoms and distances in Å follow each position.
Fractional positions:
Ho1 0.3280 0.3280 0.3280  16 Mg 3.48-3.83
Ho2 0.6720 0.6720 0.6720  16 Mg 3.48-3.83
Mg1 0.6466 0.6466 0.1601  8 Mg 2.90-3.20
Mg2 0.1601 0.6466 0.6466  8 Mg 2.90-3.20
Mg3 0.9007 0.9007 0.9007  7 Mg 3.03-3.28
Mg4 0.0993 0.0993 0.0993  7 Mg 3.03-3.28
Mg5 0.0000 0.0000 0.5000  10 Mg 2.99-3.12
Mg6 0.0000 0.5000 0.0000  10 Mg 2.99-3.12
Mg7 0.5000 0.0000 0.0000  10 Mg 2.99-3.12
Mg8 0.3053 0.6947 0.0000  8 Mg 2.99-3.20
Mg9 0.6947 0.0000 0.3053  8 Mg 2.99-3.20
Mg10 0.0000 0.3053 0.6947  8 Mg 2.99-3.20
Mg11 0.6947 0.3053 0.0000  8 Mg 2.99-3.20
Mg12 0.3053 0.0000 0.6947  8 Mg 2.99-3.20
Mg13 0.0000 0.6947 0.3053  8 Mg 2.99-3.20
Mg14 0.8399 0.3534 0.3534  8 Mg 2.90-3.20
Mg15 0.3534 0.3534 0.8399  8 Mg 2.90-3.20
Mg16 0.3534 0.8399 0.3534  8 Mg 2.90-3.20
Mg17 0.6466 0.1601 0.6466  8 Mg 2.90-3.20

Values from the calculation:
density of states at the Fermi level: 0.437 states/eV per atom
SG: R-3m
magnetization: 0.00 μB/f.u.
formation energy from the elements: -1 kJ per mole of atoms

An optimized crystal structure of Tc2TeRh, computed with PBE.

a = 4.5266 Å, b = 4.5266 Å, c = 4.5266 Å
α = 60.00°, β = 60.00°, γ = 60.00°
Closest atoms and distances in Å follow each position.
Fractional positions:
Rh1 0.5000 0.5000 0.5000  4 Te 2.77, 4 Tc 2.77
Tc1 0.0000 0.0000 0.0000  4 Tc 2.77, 4 Te 2.77
Tc2 0.2500 0.2500 0.2500  4 Tc 2.77, 4 Rh 2.77
Te1 0.7500 0.7500 0.7500  4 Tc 2.77, 4 Rh 2.77

Values from the calculation:
density of states at the Fermi level: 1.387 states/eV per atom
raw formation energy: 0.4457 eV per atom
SG: F-43m
magnetization: 2.53 μB/f.u.

An optimized crystal structure of Nd3Y6Th2, computed with PBE.

a = 6.1810 Å, b = 6.2309 Å, c = 11.6540 Å
α = 84.47°, β = 78.80°, γ = 60.26°
Closest atoms and distances in Å follow each position.
Fractional positions:
Nd1 0.0000 0.0000 0.0000  6 Nd 3.57-3.63, 6 Y 3.57-3.61
Nd2 0.3350 0.3299 0.0000  6 Y 3.56-3.63, 6 Nd 3.57-3.63
Nd3 0.6650 0.6701 0.0000  6 Y 3.56-3.63, 6 Nd 3.57-3.63
Y1 0.4241 0.6685 0.7406  2 Th 3.46-3.49, 6 Y 3.57-3.62, 3 Nd 3.61-3.63
Y2 0.7581 0.0000 0.7456  2 Th 3.44, 3 Nd 3.56-3.57, 6 Y 3.57-3.62
Y3 0.0926 0.3315 0.7406  2 Th 3.46-3.49, 6 Y 3.57-3.62, 3 Nd 3.61-3.63
Y4 0.2419 0.0000 0.2544  2 Th 3.44, 3 Nd 3.56-3.57, 6 Y 3.57-3.62
Y5 0.5759 0.3315 0.2594  2 Th 3.46-3.49, 6 Y 3.57-3.62, 3 Nd 3.61-3.63
Y6 0.9074 0.6685 0.2594  2 Th 3.46-3.49, 6 Y 3.57-3.62, 3 Nd 3.61-3.63
Th1 0.1614 0.6772 0.5000  6 Y 3.44-3.49, 3 Th 3.49-3.64
Th2 0.8386 0.3228 0.5000  6 Y 3.44-3.49, 3 Th 3.49-3.64

Values from the calculation:
density of states at the Fermi level: 1.488 states/eV per atom
SG: C2/m
magnetization: 0.00 μB/f.u.
formation energy from the elements: 21 kJ per mole of atoms

An optimized crystal structure of TaSbRh2, computed with PBE.

a = 4.5594 Å, b = 4.5594 Å, c = 4.5594 Å
α = 60.00°, β = 60.00°, γ = 60.00°
Closest atoms and distances in Å follow each position.
Fractional positions:
Ta1 0.7500 0.7500 0.7500  4 Sb 2.79, 4 Rh 2.79
Sb1 0.5000 0.5000 0.5000  4 Rh 2.79, 4 Ta 2.79
Rh1 0.0000 0.0000 0.0000  4 Ta 2.79, 4 Rh 2.79
Rh2 0.2500 0.2500 0.2500  4 Sb 2.79, 4 Rh 2.79

Values from the calculation:
density of states at the Fermi level: 0.997 states/eV per atom
raw formation energy: -0.1062 eV per atom
SG: F-43m
magnetization: 0.00 μB/f.u.

An optimized crystal structure of TmThNi2, computed with PBE.

a = 3.6547 Å, b = 4.3567 Å, c = 5.4419 Å
α = 90.00°, β = 109.53°, γ = 90.00°
Closest atoms and distances in Å follow each position.
Fractional positions:
Tm1 0.7195 0.0000 0.9787  7 Ni 2.87-2.91
Th1 0.4460 0.5000 0.4303  7 Ni 2.87-2.91
Ni1 0.1627 0.5000 0.8631  2 Ni 2.72, 3 Th 2.87-2.91, 4 Tm 2.90-2.91
Ni2 0.0028 0.0000 0.5458  2 Ni 2.72, 3 Tm 2.87-2.91, 4 Th 2.90-2.91

Values from the calculation:
density of states at the Fermi level: 0.941 states/eV per atom
SG: Pm
magnetization: 0.00 μB/f.u.
formation energy from the elements: -46 kJ per mole of atoms

An optimized crystal structure of Pm4DySe7, computed with PBE.

a = 4.0613 Å, b = 7.1430 Å, c = 12.4038 Å
α = 104.16°, β = 90.00°, γ = 106.52°
Closest atoms and distances in Å follow each position.
Fractional positions:
Pm1 0.6992 0.3983 0.8088  7 Se 2.95-3.17
Pm2 0.3004 0.6007 0.1905  7 Se 2.95-3.17
Pm3 0.9993 0.9987 0.9981  6 Se 2.88-2.94
Pm4 0.1124 0.2248 0.4241  6 Se 2.88-3.02
Dy1 0.8871 0.7743 0.5774  6 Se 2.82-2.96
Se1 0.7429 0.4858 0.3548  1 Dy 2.96, 4 Pm 2.97-3.12
Se2 0.2645 0.5290 0.6481  2 Dy 2.91, 3 Pm 3.02-3.13
Se3 0.3384 0.6768 0.9489  5 Pm 2.94-3.17
Se4 0.6602 0.3204 0.0503  5 Pm 2.94-3.17
Se5 0.0380 0.0760 0.7801  1 Dy 2.82, 3 Pm 2.89-2.95
Se6 0.9604 0.9208 0.2157  4 Pm 2.88-2.95
Se7 0.4972 0.9943 0.5032  2 Dy 2.82, 2 Pm 2.89

Values from the calculation:
density of states at the Fermi level: 0.124 states/eV per atom
raw formation energy: -1.8844 eV per atom
SG: Cm
magnetization: 0.00 μB/f.u.

An optimized crystal structure of BaNbOs2O8, computed with PBE.

a = 5.7530 Å, b = 5.7530 Å, c = 7.3426 Å
α = 90.00°, β = 90.00°, γ = 120.00°
Closest atoms and distances in Å follow each position.
Fractional positions:
Ba1 0.0000 0.0000 0.0000  6 O 2.89
Nb1 0.0000 0.0000 0.5000  6 O 2.03
Os1 0.6667 0.3333 0.2393  4 O 1.80-1.87
Os2 0.3333 0.6667 0.7607  4 O 1.80-1.87
O1 0.3333 0.6667 0.0062  1 Os 1.80
O2 0.3175 0.1928 0.3291  1 Os 1.87, 1 Nb 2.03
O3 0.8072 0.1247 0.3291  1 Os 1.87, 1 Nb 2.03
O4 0.6667 0.3333 0.9938  1 Os 1.80
O5 0.1928 0.8753 0.6709  1 Os 1.87, 1 Nb 2.03
O6 0.6825 0.8072 0.6709  1 Os 1.87, 1 Nb 2.03
O7 0.1247 0.3175 0.6709  1 Os 1.87, 1 Nb 2.03
O8 0.8753 0.6825 0.3291  1 Os 1.87, 1 Nb 2.03

Values from the calculation:
density of states at the Fermi level: 0.601 states/eV per atom
raw formation energy: -1.4431 eV per atom
SG: P-3
magnetization: 0.98 μB/f.u.

An optimized crystal structure of Rb3Ac2PuS6, computed with PBE.

a = 7.5750 Å, b = 7.5750 Å, c = 8.1082 Å
α = 98.97°, β = 98.97°, γ = 120.00°
Closest atoms and distances in Å follow each position.
Fractional positions:
Rb1 0.1669 0.8331 0.5000  6 S 3.39-3.51
Rb2 0.8331 0.1669 0.5000  6 S 3.39-3.51
Rb3 0.5000 0.5000 0.5000  6 S 3.39-3.52
Ac1 0.3334 0.6666 0.0000  6 S 3.00
Ac2 0.6666 0.3334 0.0000  6 S 3.00
Pu1 0.0000 0.0000 0.0000  6 S 2.85-2.86
S1 0.9336 0.6153 0.8010  1 Pu 2.86, 2 Ac 3.00
S2 0.7481 0.7481 0.1985  1 Pu 2.85, 2 Ac 3.00
S3 0.0664 0.3847 0.1990  1 Pu 2.86, 2 Ac 3.00
S4 0.6153 0.9336 0.8010  1 Pu 2.86, 2 Ac 3.00
S5 0.2519 0.2519 0.8015  1 Pu 2.85, 2 Ac 3.00
S6 0.3847 0.0664 0.1990  1 Pu 2.86, 2 Ac 3.00

Values from the calculation:
density of states at the Fermi level: 1.047 states/eV per atom
raw formation energy: -1.7446 eV per atom
SG: C2/m
magnetization: 5.00 μB/f.u.

An optimized crystal structure of Li8TlPb5, computed with PBE.

a = 7.4304 Å, b = 7.4304 Å, c = 7.4304 Å
α = 113.91°, β = 100.92°, γ = 113.91°
Closest atoms and distances in Å follow each position.
Fractional positions:
Li1 0.1654 0.7698 0.0825  3 Li 2.80-3.03, 4 Pb 2.84-3.14, 1 Tl 2.85
Li2 0.9175 0.0829 0.6873  3 Li 2.80-3.03, 4 Pb 2.84-3.14, 1 Tl 2.85
Li3 0.6783 0.2301 0.2719  4 Li 2.90-3.11, 5 Pb 2.91-3.06
Li4 0.7281 0.4063 0.9582  4 Li 2.90-3.11, 5 Pb 2.91-3.06
Li5 0.5519 0.5937 0.3217  4 Li 2.90-3.11, 5 Pb 2.91-3.06
Li6 0.6044 0.9171 0.8346  3 Li 2.80-3.03, 4 Pb 2.84-3.14, 1 Tl 2.85
Li7 0.3127 0.2302 0.3956  3 Li 2.80-3.03, 4 Pb 2.84-3.14, 1 Tl 2.85
Li8 0.0418 0.7699 0.4481  4 Li 2.90-3.11, 5 Pb 2.91-3.06
Tl1 0.2500 0.5000 0.7500  4 Li 2.85
Pb1 0.0846 0.3804 0.1845  8 Li 2.91-3.26
Pb2 0.8155 0.9001 0.1959  8 Li 2.91-3.26
Pb3 0.8041 0.6196 0.7041  8 Li 2.91-3.26
Pb4 0.5000 0.0000 0.5000  8 Li 2.84-2.99
Pb5 0.2959 0.0999 0.9154  8 Li 2.91-3.26

Values from the calculation:
density of states at the Fermi level: 0.415 states/eV per atom
SG: I-4
magnetization: 0.00 μB/f.u.
formation energy from the elements: -19 kJ per mole of atoms